Material: SmEuGdDy
Method: DFT, PBE-GGA
State: optimized geometry

Output
SG = F-43m
ΔH_f (0 K) = 0.137 eV/atom
Final energy = -8.282 eV per atom
Calculated density = 7592 kg/m³
Size of the total moment = 15.40 μB/f.u.

Geometry as POSCAR:
```
SmEuGdDy
1.0
0.000 4.082 4.082
4.082 0.000 4.082
4.082 4.082 0.000
Sm Eu Gd Dy
1 1 1 1
direct
0.000 0.000 0.000
0.250 0.250 0.250
0.750 0.750 0.750
0.500 0.500 0.500
```